Computed, not measured: SrTbEuNiO6 after structural relaxation at the PBE with a Hubbard U level of DFT.

a = 5.703 Å, b = 5.703 Å, c = 5.703 Å
α = 60.00°, β = 60.00°, γ = 60.00°
Atoms (fractional coordinates):
1 Sr 0.000 0.000 0.000
2 Tb 0.750 0.750 0.750
3 Eu 0.500 0.500 0.500
4 Ni 0.250 0.250 0.250
5 O 0.020 0.020 0.480
6 O 0.020 0.480 0.020
7 O 0.020 0.480 0.480
8 O 0.480 0.020 0.020
9 O 0.480 0.020 0.480
10 O 0.480 0.480 0.020

Computed properties:
- Crystal system: cubic
- Total DFT energy (no corrections): -7.0606 eV per atom